Material: ScIn3Ge
Method: DFT, GGA-PBE
State: optimized geometry

```
5
Lattice="5.5181 0.0000 0.0000 0.0000 5.5181 0.0000 0.0000 0.0000 5.5181" Properties=species:S:1:pos:R:3 pbc="T T T"
Sc 0.0000 0.0000 0.0000
In 0.0000 0.0000 2.7590
In 0.0000 2.7590 0.0000
In 2.7590 0.0000 0.0000
Ge 2.7590 2.7590 2.7590
```

Space-group type: Pm-3m (221)
E_form: 15.73 kcal/mol of atoms
Polymorph energy (0 for the lowest one): 215 meV per atom

Material: ScInGe2
Method: DFT, GGA-PBE
State: optimized geometry

```
8
Lattice="-3.7790 3.7790 3.0524 3.7790 -3.7790 3.0524 3.7790 3.7790 -3.0524" Properties=species:S:1:pos:R:3 pbc="T T T"
Sc 0.0000 0.0000 0.0000
Sc 0.0000 3.7790 1.5262
In 3.7790 0.0000 1.5262
In 0.0000 0.0000 3.0524
Ge 1.8895 -1.8089 2.2893
Ge 1.9700 1.8895 0.7631
Ge 1.8895 5.5879 -0.7631
Ge 1.8089 1.8895 3.8155
```

Space-group type: I-42d (122)
E_form: -1.82 kcal/mol of atoms

Material: SrSc2InGe
Method: DFT, GGA-PBE
State: optimized geometry

```
5
Lattice="5.3819 0.0000 0.0000 0.0000 5.3819 0.0000 0.0000 0.0000 5.7320" Properties=species:S:1:pos:R:3 pbc="T T T"
Sr 0.0000 0.0000 0.0000
Sc 0.0000 2.6910 0.0000
Sc 2.6910 0.0000 0.0000
In 0.0000 0.0000 2.8660
Ge 2.6910 2.6910 2.8660
```

Space-group type: P4/mmm (123)
E_form: 31.96 kcal/mol of atoms

Material: InGeSe2
Method: DFT, GGA-PBE
State: optimized geometry

```
4
Lattice="1.8400 1.0623 9.1251 -1.8400 1.0623 9.1251 0.0000 -2.1246 9.1251" Properties=species:S:1:pos:R:3 pbc="T T T"
In 0.0000 0.0000 0.0000
Ge 0.0000 0.0000 13.6877
Se 0.0000 0.0000 3.0349
Se 0.0000 0.0000 24.3405
```

Space-group type: R-3m (166)
E_form (uncorrected): -95 meV per atom

no.,total magnetization (Bohr magnetons per cell)
1,0.25
2,0.00
3,1.43
4,0.00